(1)
Material: Ag3MoI
Method: DFT, GGA-PBE
State: optimized geometry

Its space group is Pm-3m. Its density of states at the Fermi level is 3.497 states/eV per cell.

abc: 5.4098 5.4098 5.4098
angles: 90.00 90.00 90.00
Last column: nearest neighbours and their distance in Å.
Fractional coordinates of all 5 atoms:
1 Ag 0.0000 0.0000 0.5000  2 I 2.70
2 Ag 0.0000 0.5000 0.0000  2 I 2.70
3 Ag 0.5000 0.0000 0.0000  2 I 2.70
4 Mo 0.5000 0.5000 0.5000  12 Ag 3.83
5 I 0.0000 0.0000 0.0000  6 Ag 2.70


(2)
Material: Ag3MoI
Method: DFT, GGA-PBE
State: optimized geometry

Its space group is Pm-3m. Its density of states at the Fermi level is 4.357 states/eV per cell.

abc: 5.1948 5.1948 5.1948
angles: 90.00 90.00 90.00
Last column: nearest neighbours and their distance in Å.
Fractional coordinates of all 5 atoms:
1 Ag 0.0000 0.0000 0.5000  2 Mo 2.60
2 Ag 0.0000 0.5000 0.0000  2 Mo 2.60
3 Ag 0.5000 0.0000 0.0000  2 Mo 2.60
4 Mo 0.0000 0.0000 0.0000  6 Ag 2.60
5 I 0.5000 0.5000 0.5000  12 Ag 3.67


(2) takes first place; second place is 142 meV/atom up.


(1)
Material: AgMoWI2
Method: DFT, GGA-PBE
State: optimized geometry

Its space group is P4/mmm. Its density of states at the Fermi level is 5.661 states/eV per cell.

abc: 5.3902 5.3902 5.3619
angles: 90.00 90.00 90.00
Last column: nearest neighbours and their distance in Å.
Fractional coordinates of all 5 atoms:
1 Ag 0.0000 0.0000 0.0000  2 Mo 2.68
2 Mo 0.0000 0.0000 0.5000  2 Ag 2.68, 4 I 2.70
3 W 0.5000 0.5000 0.0000  8 I 3.80, 4 Ag 3.81
4 I 0.0000 0.5000 0.5000  2 Mo 2.70
5 I 0.5000 0.0000 0.5000  2 Mo 2.70


(2)
Material: AgMoWI2
Method: DFT, GGA-PBE
State: optimized geometry

Its space group is P4/mmm. Its density of states at the Fermi level is 4.063 states/eV per cell.

abc: 5.5017 5.5017 5.1162
angles: 90.00 90.00 90.00
Last column: nearest neighbours and their distance in Å.
Fractional coordinates of all 5 atoms:
1 Ag 0.0000 0.0000 0.0000  2 W 2.56, 4 I 2.75
2 Mo 0.5000 0.5000 0.5000  8 I 3.76, 4 W 3.89
3 W 0.0000 0.0000 0.5000  2 Ag 2.56
4 I 0.0000 0.5000 0.0000  2 Ag 2.75
5 I 0.5000 0.0000 0.0000  2 Ag 2.75


(1) takes first place; second place is 389 meV/atom up.


(1)
Material: AgI2N
Method: DFT, GGA-PBE
State: optimized geometry

Its space group is I-42d. Its density of states at the Fermi level is 4.691 states/eV per cell.

abc: 5.9203 5.9203 12.8922
angles: 90.00 90.00 90.00
Last column: nearest neighbours and their distance in Å.
Fractional coordinates of all 16 atoms:
1 Ag 0.0000 0.0000 0.0000  4 I 3.01
2 Ag 0.0000 0.5000 0.2500  4 I 3.01
3 Ag 0.5000 0.0000 0.7500  4 I 3.01
4 Ag 0.5000 0.5000 0.5000  4 I 3.01
5 I 0.1497 0.2500 0.6250  2 N 2.36
6 I 0.2500 0.6497 0.8750  2 N 2.36
7 I 0.2500 0.8503 0.3750  2 N 2.36
8 I 0.3503 0.2500 0.1250  2 N 2.36
9 I 0.6497 0.7500 0.1250  2 N 2.36
10 I 0.7500 0.1497 0.3750  2 N 2.36
11 I 0.7500 0.3503 0.8750  2 N 2.36
12 I 0.8503 0.7500 0.6250  2 N 2.36
13 N 0.0000 0.0000 0.5000  4 I 2.36
14 N 0.0000 0.5000 0.7500  4 I 2.36
15 N 0.5000 0.0000 0.2500  4 I 2.36
16 N 0.5000 0.5000 0.0000  4 I 2.36


(2)
Material: AgI2N
Method: DFT, GGA-PBE
State: optimized geometry

Its space group is Fm-3m. Its density of states at the Fermi level is 15.640 states/eV per cell.

abc: 7.4255 7.4255 7.4255
angles: 90.00 90.00 90.00
Last column: nearest neighbours and their distance in Å.
Fractional coordinates of all 16 atoms:
1 Ag 0.0000 0.0000 0.0000  8 I 3.22
2 Ag 0.0000 0.5000 0.5000  8 I 3.22
3 Ag 0.5000 0.0000 0.5000  8 I 3.22
4 Ag 0.5000 0.5000 0.0000  8 I 3.22
5 I 0.2500 0.2500 0.2500  4 Ag 3.22, 4 N 3.22
6 I 0.2500 0.2500 0.7500  4 Ag 3.22, 4 N 3.22
7 I 0.2500 0.7500 0.2500  4 Ag 3.22, 4 N 3.22
8 I 0.2500 0.7500 0.7500  4 Ag 3.22, 4 N 3.22
9 I 0.7500 0.2500 0.2500  4 Ag 3.22, 4 N 3.22
10 I 0.7500 0.2500 0.7500  4 Ag 3.22, 4 N 3.22
11 I 0.7500 0.7500 0.2500  4 Ag 3.22, 4 N 3.22
12 I 0.7500 0.7500 0.7500  4 Ag 3.22, 4 N 3.22
13 N 0.0000 0.0000 0.5000  8 I 3.22
14 N 0.0000 0.5000 0.0000  8 I 3.22
15 N 0.5000 0.0000 0.0000  8 I 3.22
16 N 0.5000 0.5000 0.5000  8 I 3.22


(1) takes first place; second place is 437 meV/atom up.


(1)
Material: AgIN2
Method: DFT, GGA-PBE
State: optimized geometry

Its space group is I-42d. Its density of states at the Fermi level is 5.278 states/eV per cell.

abc: 4.9515 4.9515 11.2967
angles: 90.00 90.00 90.00
Last column: nearest neighbours and their distance in Å.
Fractional coordinates of all 16 atoms:
1 Ag 0.0000 0.0000 0.0000  4 N 2.36
2 Ag 0.0000 0.5000 0.2500  4 N 2.36
3 Ag 0.5000 0.0000 0.7500  4 N 2.36
4 Ag 0.5000 0.5000 0.5000  4 N 2.36
5 I 0.0000 0.0000 0.5000  4 N 2.15
6 I 0.0000 0.5000 0.7500  4 N 2.15
7 I 0.5000 0.0000 0.2500  4 N 2.15
8 I 0.5000 0.5000 0.0000  4 N 2.15
9 N 0.2122 0.2500 0.6250  2 I 2.15, 2 Ag 2.36
10 N 0.2500 0.7122 0.8750  2 I 2.15, 2 Ag 2.36
11 N 0.2500 0.7878 0.3750  2 I 2.15, 2 Ag 2.36
12 N 0.2878 0.2500 0.1250  2 I 2.15, 2 Ag 2.36
13 N 0.7122 0.7500 0.1250  2 I 2.15, 2 Ag 2.36
14 N 0.7500 0.2122 0.3750  2 I 2.15, 2 Ag 2.36
15 N 0.7500 0.2878 0.8750  2 I 2.15, 2 Ag 2.36
16 N 0.7878 0.7500 0.6250  2 I 2.15, 2 Ag 2.36


(2)
Material: AgIN2
Method: DFT, GGA-PBE
State: optimized geometry

Its space group is Fm-3m. Its density of states at the Fermi level is 8.740 states/eV per cell.

abc: 6.0210 6.0210 6.0210
angles: 90.00 90.00 90.00
Last column: nearest neighbours and their distance in Å.
Fractional coordinates of all 16 atoms:
1 Ag 0.0000 0.0000 0.0000  8 N 2.61
2 Ag 0.0000 0.5000 0.5000  8 N 2.61
3 Ag 0.5000 0.0000 0.5000  8 N 2.61
4 Ag 0.5000 0.5000 0.0000  8 N 2.61
5 I 0.0000 0.0000 0.5000  8 N 2.61
6 I 0.0000 0.5000 0.0000  8 N 2.61
7 I 0.5000 0.0000 0.0000  8 N 2.61
8 I 0.5000 0.5000 0.5000  8 N 2.61
9 N 0.2500 0.2500 0.2500  4 I 2.61, 4 Ag 2.61
10 N 0.2500 0.2500 0.7500  4 I 2.61, 4 Ag 2.61
11 N 0.2500 0.7500 0.2500  4 I 2.61, 4 Ag 2.61
12 N 0.2500 0.7500 0.7500  4 I 2.61, 4 Ag 2.61
13 N 0.7500 0.2500 0.2500  4 I 2.61, 4 Ag 2.61
14 N 0.7500 0.2500 0.7500  4 I 2.61, 4 Ag 2.61
15 N 0.7500 0.7500 0.2500  4 I 2.61, 4 Ag 2.61
16 N 0.7500 0.7500 0.7500  4 I 2.61, 4 Ag 2.61


(3)
Material: AgIN2
Method: DFT, GGA-PBE
State: optimized geometry

Its space group is R-3m. Its density of states at the Fermi level is 6.146 states/eV per cell.

abc: 3.5105 3.5105 18.6097
angles: 90.00 90.00 120.00
Last column: nearest neighbours and their distance in Å.
Fractional coordinates of all 12 atoms:
1 Ag 0.0000 0.0000 0.0000  6 N 2.24
2 Ag 0.3333 0.6667 0.6667  6 N 2.24
3 Ag 0.6667 0.3333 0.3333  6 N 2.24
4 I 0.0000 0.0000 0.5000  2 N 2.15
5 I 0.3333 0.6667 0.1667  2 N 2.15
6 I 0.6667 0.3333 0.8333  2 N 2.15
7 N 0.0000 0.0000 0.3843  1 I 2.15, 3 Ag 2.24
8 N 0.0000 0.0000 0.6157  1 I 2.15, 3 Ag 2.24
9 N 0.3333 0.6667 0.0510  1 I 2.15, 3 Ag 2.24
10 N 0.3333 0.6667 0.2824  1 I 2.15, 3 Ag 2.24
11 N 0.6667 0.3333 0.7176  1 I 2.15, 3 Ag 2.24
12 N 0.6667 0.3333 0.9490  1 I 2.15, 3 Ag 2.24


(3) takes first place; second place is 166 meV/atom up.


(1)
Material: AgI2N2
Method: DFT, GGA-PBE
State: optimized geometry

Its space group is P4/mmm. Its density of states at the Fermi level is 5.953 states/eV per cell.

abc: 5.8336 5.8336 4.1388
angles: 90.00 90.00 90.00
Last column: nearest neighbours and their distance in Å.
Fractional coordinates of all 5 atoms:
1 Ag 0.0000 0.0000 0.0000  2 N 2.07
2 I 0.0000 0.5000 0.0000  2 Ag 2.92
3 I 0.5000 0.0000 0.0000  2 Ag 2.92
4 N 0.0000 0.0000 0.5000  2 Ag 2.07
5 N 0.5000 0.5000 0.5000  8 I 3.58


(2)
Material: AgI2N2
Method: DFT, GGA-PBE
State: optimized geometry

Its space group is P4/mmm. Its density of states at the Fermi level is 3.257 states/eV per cell.

abc: 4.0993 4.0993 8.4692
angles: 90.00 90.00 90.00
Last column: nearest neighbours and their distance in Å.
Fractional coordinates of all 5 atoms:
1 Ag 0.0000 0.0000 0.0000  4 I 2.90
2 I 0.5000 0.5000 0.0000  4 Ag 2.90
3 I 0.5000 0.5000 0.5000  4 N 2.05
4 N 0.0000 0.5000 0.5000  2 I 2.05
5 N 0.5000 0.0000 0.5000  2 I 2.05


(2) takes first place; second place is 317 meV/atom up.


(1)
Material: AgI2N2
Method: DFT, GGA-PBE
State: optimized geometry

Its space group is P4/mmm. Its density of states at the Fermi level is 1.919 states/eV per cell.

abc: 4.4173 4.4173 7.1389
angles: 90.00 90.00 90.00
Last column: nearest neighbours and their distance in Å.
Fractional coordinates of all 5 atoms:
1 Ag 0.0000 0.0000 0.0000  4 N 2.21
2 I 0.0000 0.0000 0.5000  4 I 3.12
3 I 0.5000 0.5000 0.5000  4 I 3.12
4 N 0.0000 0.5000 0.0000  2 Ag 2.21
5 N 0.5000 0.0000 0.0000  2 Ag 2.21


(2)
Material: AgI2N2
Method: DFT, GGA-PBE
State: optimized geometry

Its space group is C2/m. Its density of states at the Fermi level is 5.219 states/eV per cell.

abc: 8.5414 3.9365 13.1639
angles: 90.00 98.10 90.00
Last column: nearest neighbours and their distance in Å.
Fractional coordinates of all 10 atoms:
1 Ag 0.0000 0.0000 0.0000  4 I 2.79
2 Ag 0.5000 0.5000 0.0000  4 I 2.79
3 I 0.0830 0.5000 0.8673  2 Ag 2.79
4 I 0.4170 0.0000 0.1327  2 Ag 2.79
5 I 0.5830 0.0000 0.8673  2 Ag 2.79
6 I 0.9170 0.5000 0.1327  2 Ag 2.79
7 N 0.0036 0.5000 0.5426  1 N 1.11
8 N 0.4964 0.0000 0.4574  1 N 1.11
9 N 0.5036 0.0000 0.5426  1 N 1.11
10 N 0.9964 0.5000 0.4574  1 N 1.11


(2) takes first place; second place is 1806 meV/atom up.


(1)
Material: Ag2IN
Method: DFT, GGA-PBE
State: optimized geometry

Its space group is I-42d. Its density of states at the Fermi level is 10.750 states/eV per cell.

abc: 5.6245 5.6245 11.6484
angles: 90.00 90.00 90.00
Last column: nearest neighbours and their distance in Å.
Fractional coordinates of all 16 atoms:
1 Ag 0.1002 0.2500 0.1250  2 N 2.10
2 Ag 0.2500 0.6002 0.3750  2 N 2.10
3 Ag 0.2500 0.8998 0.8750  2 N 2.10
4 Ag 0.3998 0.2500 0.6250  2 N 2.10
5 Ag 0.6002 0.7500 0.6250  2 N 2.10
6 Ag 0.7500 0.1002 0.8750  2 N 2.10
7 Ag 0.7500 0.3998 0.3750  2 N 2.10
8 Ag 0.8998 0.7500 0.1250  2 N 2.10
9 I 0.0000 0.0000 0.5000  4 Ag 3.03
10 I 0.0000 0.5000 0.7500  4 Ag 3.03
11 I 0.5000 0.0000 0.2500  4 Ag 3.03
12 I 0.5000 0.5000 0.0000  4 Ag 3.03
13 N 0.0000 0.0000 0.0000  4 Ag 2.10
14 N 0.0000 0.5000 0.2500  4 Ag 2.10
15 N 0.5000 0.0000 0.7500  4 Ag 2.10
16 N 0.5000 0.5000 0.5000  4 Ag 2.10


(2)
Material: Ag2IN
Method: DFT, GGA-PBE
State: optimized geometry

Its space group is Fm-3m. Its density of states at the Fermi level is 6.150 states/eV per cell.

abc: 6.8770 6.8770 6.8770
angles: 90.00 90.00 90.00
Last column: nearest neighbours and their distance in Å.
Fractional coordinates of all 16 atoms:
1 Ag 0.2500 0.2500 0.2500  4 N 2.98, 4 I 2.98
2 Ag 0.2500 0.2500 0.7500  4 I 2.98, 4 N 2.98
3 Ag 0.2500 0.7500 0.2500  4 I 2.98, 4 N 2.98
4 Ag 0.2500 0.7500 0.7500  4 N 2.98, 4 I 2.98
5 Ag 0.7500 0.2500 0.2500  4 I 2.98, 4 N 2.98
6 Ag 0.7500 0.2500 0.7500  4 N 2.98, 4 I 2.98
7 Ag 0.7500 0.7500 0.2500  4 N 2.98, 4 I 2.98
8 Ag 0.7500 0.7500 0.7500  4 I 2.98, 4 N 2.98
9 I 0.0000 0.0000 0.0000  8 Ag 2.98
10 I 0.0000 0.5000 0.5000  8 Ag 2.98
11 I 0.5000 0.0000 0.5000  8 Ag 2.98
12 I 0.5000 0.5000 0.0000  8 Ag 2.98
13 N 0.0000 0.0000 0.5000  8 Ag 2.98
14 N 0.0000 0.5000 0.0000  8 Ag 2.98
15 N 0.5000 0.0000 0.0000  8 Ag 2.98
16 N 0.5000 0.5000 0.5000  8 Ag 2.98


(1) takes first place; second place is 475 meV/atom up.